Below is RbMoOs2 after structural relaxation, with properties calculated at the PBE level.

Values from the calculation:
Formation energy in meV per atom: 1842
Density of states at the Fermi level in states/eV per atom: 0.836
Energy above the lowest structure with this stoichiometry in eV/f.u.: 0.37

Geometry as POSCAR:
```
RbMoOs2
1.0
6.561 0.000 0.000
0.000 6.561 0.000
0.000 0.000 6.561
Rb Mo Os
4 4 8
Direct
0.000 0.000 0.000 Rb
0.000 0.500 0.500 Rb
0.500 0.000 0.500 Rb
0.500 0.500 0.000 Rb
0.000 0.000 0.500 Mo
0.000 0.500 0.000 Mo
0.500 0.000 0.000 Mo
0.500 0.500 0.500 Mo
0.250 0.250 0.250 Os
0.250 0.250 0.750 Os
0.250 0.750 0.250 Os
0.250 0.750 0.750 Os
0.750 0.250 0.250 Os
0.750 0.250 0.750 Os
0.750 0.750 0.250 Os
0.750 0.750 0.750 Os
```

---

Below is MnSiPH after structural relaxation, with properties calculated at the PBE level.

Values from the calculation:
Density of states at the Fermi level in states/eV per atom: 0.523
Energy above the lowest structure with this stoichiometry in eV/f.u.: 0.00

Geometry as POSCAR:
```
MnSiPH
1.0
2.776 0.000 0.000
0.000 2.776 0.000
0.000 0.000 12.903
Mn Si P H
2 2 2 2
Direct
0.000 0.000 0.000 Mn
0.500 0.500 0.500 Mn
0.000 0.000 0.608 Si
0.500 0.500 0.108 Si
0.000 0.000 0.401 P
0.500 0.500 0.901 P
0.000 0.000 0.724 H
0.500 0.500 0.224 H
```

---

no.,raw total energy (eV/cell),magnetization (μB per atom)
1,-107.6,0.000
2,-47.6,0.000